# PBE Li5Bi2Au, relaxed
data_Li5Bi2Au
_cell_length_a 4.8221
_cell_length_b 4.8221
_cell_length_c 18.3423
_cell_angle_alpha 90.00
_cell_angle_beta 90.00
_cell_angle_gamma 120.00
_symmetry_space_group_name_H-M 'P 63/m m c'
_symmetry_Int_Tables_number 194
_symmetry_space_group_name_Hall '-P 6c 2c'
loop_
_atom_site_label
_atom_site_fract_x
_atom_site_fract_y
_atom_site_fract_z
Li1 0.0000 0.0000 0.1463
Li2 0.3333 0.6667 0.0582
Li3 0.3333 0.6667 0.2500
Bi1 0.3333 0.6667 0.6023
Au1 0.3333 0.6667 0.7500
# Volume   23.09 Å³ per atom
# Formation energy   -3.15 eV/f.u.
# N(E_F)   3.6 states/eV/cell